## w
Entry from the Alexandria database: a geometry-optimized LaTa2Pt structure (PBE-GGA).

- Total moment: 0.000 μB per formula unit
- Symmetry: Imm2

a = 5.5142 Å, b = 5.5142 Å, c = 5.5142 Å
α = 142.40°, β = 125.71°, γ = 67.92°
Last column: nearest neighbours and their distance in Å.
Element x y z (fractional)
La1 0.0000 0.0000 0.0000  2 Pt 2.94, 8 Ta 3.03-3.29
Ta1 0.4899 0.4899 0.0000  2 Pt 2.78, 2 Ta 2.84, 4 La 3.08
Ta2 0.7319 0.2319 0.5000  2 Ta 2.84, 2 La 3.03, 4 Pt 3.09
Pt1 0.2560 0.7560 0.5000  6 Ta 2.78-3.09, 2 La 2.94

## x
Entry from the Alexandria database: a geometry-optimized LaTa2Pt structure (PBE-GGA).

- Total moment: 0.000 μB per formula unit
- Symmetry: I-42d

a = 11.1132 Å, b = 11.1132 Å, c = 11.1132 Å
α = 159.05°, β = 159.05°, γ = 29.79°
Last column: nearest neighbours and their distance in Å.
Element x y z (fractional)
La1 0.0000 0.0000 0.0000  4 Pt 2.86, 4 Ta 3.06
La2 0.7500 0.2500 0.5000  4 Pt 2.86, 4 Ta 3.06
Ta1 0.1406 0.6250 0.0156  4 Ta 2.77-2.95, 2 Pt 3.02, 2 La 3.06
Ta2 0.3750 0.3906 0.5156  4 Ta 2.77-2.95, 2 Pt 3.02, 2 La 3.06
Ta3 0.6094 0.1250 0.9844  4 Ta 2.77-2.95, 2 Pt 3.02, 2 La 3.06
Ta4 0.8750 0.8594 0.4844  4 Ta 2.77-2.95, 2 Pt 3.02, 2 La 3.06
Pt1 0.2500 0.7500 0.5000  4 La 2.86, 4 Ta 3.02
Pt2 0.5000 0.5000 0.0000  4 La 2.86, 4 Ta 3.02

The structure with the most favorable energy is w; the runner-up is 90 meV per atom above it.

## w
Entry from the Alexandria database: a geometry-optimized B5C7 structure (PBE-GGA).

- Total moment: 0.000 μB per formula unit
- Symmetry: P1

a = 4.5488 Å, b = 4.5559 Å, c = 4.6212 Å
α = 81.78°, β = 71.57°, γ = 60.57°
Last column: nearest neighbours and their distance in Å.
Element x y z (fractional)
B1 0.0000 0.0000 0.0000  3 C 1.59-1.63
B2 0.0567 0.5953 0.8129  1 C 1.53
B3 0.1934 0.2987 0.4026  3 C 1.62-1.65
B4 0.3612 0.2861 0.9797  2 C 1.60-1.61, 1 B 1.72
B5 0.6331 0.6345 0.0088  3 C 1.60-1.63, 1 B 1.78
C1 0.1660 0.6560 0.4706  2 B 1.53-1.64, 2 C 1.56-1.57
C2 0.3894 0.9678 0.8430  1 C 1.56, 3 B 1.60-1.63
C3 0.5154 0.9520 0.4884  3 C 1.56, 1 B 1.65
C4 0.5396 0.6339 0.3728  3 C 1.56-1.58, 1 B 1.60
C5 0.7283 0.2988 0.8429  1 C 1.56, 3 B 1.59-1.61
C6 0.8185 0.3021 0.4875  3 C 1.56-1.58, 1 B 1.62
C7 0.8684 0.9702 0.3656  3 C 1.56-1.57, 1 B 1.61

## x
Entry from the Alexandria database: a geometry-optimized B5C7 structure (PBE-GGA).

- Total moment: 0.000 μB per formula unit
- Symmetry: P3m1

a = 2.5608 Å, b = 2.5608 Å, c = 13.8627 Å
α = 90.00°, β = 90.00°, γ = 120.00°
Last column: nearest neighbours and their distance in Å.
Element x y z (fractional)
B1 0.0000 0.0000 0.0000  3 C 1.64, 1 B 1.70
B2 0.0000 0.0000 0.1225  4 B 1.70-1.87
B3 0.0000 0.0000 0.6423  4 C 1.60-1.64
B4 0.3333 0.6667 0.2051  4 B 1.70-1.87
B5 0.3333 0.6667 0.3275  3 C 1.65, 1 B 1.70
C1 0.0000 0.0000 0.5266  3 C 1.57, 1 B 1.60
C2 0.3333 0.6667 0.6928  1 C 1.49, 3 B 1.64
C3 0.3333 0.6667 0.8004  4 C 1.49-1.58
C4 0.6667 0.3333 0.3797  1 C 1.50, 3 B 1.65
C5 0.6667 0.3333 0.4877  4 C 1.50-1.57
C6 0.6667 0.3333 0.8405  4 C 1.49-1.58
C7 0.6667 0.3333 0.9480  1 C 1.49, 3 B 1.64

The structure with the most favorable energy is w; the runner-up is 27 meV per atom above it.

## w
Entry from the Alexandria database: a geometry-optimized ScCoRu2 structure (PBE-GGA).

- Total moment: 3.191 μB per formula unit
- Symmetry: F-43m

a = 4.3710 Å, b = 4.3710 Å, c = 4.3710 Å
α = 60.00°, β = 60.00°, γ = 60.00°
Last column: nearest neighbours and their distance in Å.
Element x y z (fractional)
Sc1 0.0000 0.0000 0.0000  4 Co 2.68, 4 Ru 2.68
Co1 0.7500 0.7500 0.7500  4 Ru 2.68, 4 Sc 2.68
Ru1 0.2500 0.2500 0.2500  4 Ru 2.68, 4 Sc 2.68
Ru2 0.5000 0.5000 0.5000  4 Co 2.68, 4 Ru 2.68

## x
Entry from the Alexandria database: a geometry-optimized ScCoRu2 structure (PBE-GGA).

- Total moment: 0.879 μB per formula unit
- Symmetry: P4/mmm

a = 3.8559 Å, b = 3.8559 Å, c = 3.8652 Å
α = 90.00°, β = 90.00°, γ = 90.00°
Last column: nearest neighbours and their distance in Å.
Element x y z (fractional)
Sc1 0.0000 0.0000 0.0000  4 Co 2.73, 8 Ru 2.73
Co1 0.5000 0.5000 0.0000  4 Sc 2.73, 8 Ru 2.73
Ru1 0.0000 0.5000 0.5000  4 Ru 2.73, 4 Co 2.73, 4 Sc 2.73
Ru2 0.5000 0.0000 0.5000  4 Ru 2.73, 4 Co 2.73, 4 Sc 2.73

The structure with the most favorable energy is x; the runner-up is 29 meV per atom above it.

## w
Entry from the Alexandria database: a geometry-optimized ScAs2Br structure (PBE-GGA).

- Total moment: 0.000 μB per formula unit
- Symmetry: C2/m

a = 4.9572 Å, b = 4.9572 Å, c = 4.4881 Å
α = 105.43°, β = 105.43°, γ = 110.63°
Last column: nearest neighbours and their distance in Å.
Element x y z (fractional)
Sc1 0.0000 0.0000 0.0000  2 Br 2.82, 4 As 2.87
As1 0.0000 0.5000 0.5000  2 As 2.82, 2 Br 2.87, 2 Sc 2.87
As2 0.5000 0.0000 0.5000  2 As 2.82, 2 Br 2.87, 2 Sc 2.87
Br1 0.5000 0.5000 0.0000  2 Sc 2.82, 4 As 2.87

## x
Entry from the Alexandria database: a geometry-optimized ScAs2Br structure (PBE-GGA).

- Total moment: 0.003 μB per formula unit
- Symmetry: R3m

a = 9.2623 Å, b = 9.2623 Å, c = 9.2623 Å
α = 22.35°, β = 22.35°, γ = 22.35°
Last column: nearest neighbours and their distance in Å.
Element x y z (fractional)
Sc1 0.0000 0.0000 0.0000  3 Br 2.71, 3 As 2.85
As1 0.2613 0.2613 0.2613  3 As 2.61, 3 Sc 2.85
As2 0.5359 0.5359 0.5359  3 As 2.61
Br1 0.7310 0.7310 0.7310  3 Sc 2.71

The structure with the most favorable energy is x; the runner-up is 207 meV per atom above it.